1.
This record from the Alexandria database describes a geometry-optimized PmDyHgOs structure. The functional is PBE.

Structure (extended XYZ):
```
4
Lattice="0.000 3.592 3.592 3.592 0.000 3.592 3.592 3.592 0.000" Properties=species:S:1:pos:R:3 pbc="T T T"
Pm 0.000 0.000 0.000
Dy 3.592 3.592 3.592
Hg 1.796 1.796 1.796
Os 5.388 5.388 5.388
```

Properties
For the density of states at the Fermi level, the calculation gives 2.6 states/eV per cell. For the total moment, the calculation gives 0.00 μB/f.u. The calculation puts the calculated formation energy at -0.201 eV/atom.

2.
This record from the Alexandria database describes a geometry-optimized PrDyHgOs structure. The functional is PBE.

Structure (extended XYZ):
```
4
Lattice="0.000 3.620 3.620 3.620 0.000 3.620 3.620 3.620 0.000" Properties=species:S:1:pos:R:3 pbc="T T T"
Pr 0.000 0.000 0.000
Dy 3.620 3.620 3.620
Hg 5.430 5.430 5.430
Os 1.810 1.810 1.810
```

Properties
For the density of states at the Fermi level, the calculation gives 2.5 states/eV per cell. For the total moment, the calculation gives 0.00 μB/f.u. The calculation puts the calculated formation energy at -0.159 eV/atom.

3.
This record from the Alexandria database describes a geometry-optimized Dy5Hg2OsRh2 structure. The functional is PBE.

Structure (extended XYZ):
```
20
Lattice="11.561 0.000 0.000 0.000 11.561 0.000 0.000 0.000 3.522" Properties=species:S:1:pos:R:3 pbc="T T T"
Dy 0.000 5.781 0.000
Dy 0.858 2.215 0.000
Dy 2.215 10.703 0.000
Dy 3.566 4.923 0.000
Dy 4.923 7.996 0.000
Dy 5.781 0.000 0.000
Dy 6.639 3.566 0.000
Dy 7.996 6.639 0.000
Dy 9.347 0.858 0.000
Dy 10.703 9.347 0.000
Hg 2.029 7.810 1.761
Hg 3.751 2.029 1.761
Hg 7.810 9.532 1.761
Hg 9.532 3.751 1.761
Os 0.000 0.000 1.761
Os 5.781 5.781 1.761
Rh 1.527 4.253 1.761
Rh 4.253 10.034 1.761
Rh 7.308 1.527 1.761
Rh 10.034 7.308 1.761
```

Properties
For the density of states at the Fermi level, the calculation gives 11.3 states/eV per cell. For the total moment, the calculation gives 0.00 μB/f.u. The calculation puts the calculated formation energy at -0.476 eV/atom.

4.
This record from the Alexandria database describes a geometry-optimized DyScHgOs structure. The functional is PBE.

Structure (extended XYZ):
```
4
Lattice="0.000 3.454 3.454 3.454 0.000 3.454 3.454 3.454 0.000" Properties=species:S:1:pos:R:3 pbc="T T T"
Dy 0.000 0.000 0.000
Sc 3.454 3.454 3.454
Hg 1.727 1.727 1.727
Os 5.181 5.181 5.181
```

Properties
For the density of states at the Fermi level, the calculation gives 3.4 states/eV per cell. For the energy above the most stable polymorph in this dataset, the calculation gives 14.5 kJ per mole of atoms. For the total moment, the calculation gives 0.00 μB/f.u. The calculation puts the calculated formation energy at -0.277 eV/atom.

5.
This record from the Alexandria database describes a geometry-optimized DyScHgOs structure. The functional is PBE.

Structure (extended XYZ):
```
4
Lattice="3.367 0.000 0.000 0.000 3.367 0.000 0.000 0.000 7.386" Properties=species:S:1:pos:R:3 pbc="T T T"
Dy 0.000 0.000 0.000
Sc 0.000 0.000 4.177
Hg 1.684 1.684 2.253
Os 1.684 1.684 5.648
```

Properties
For the density of states at the Fermi level, the calculation gives 3.3 states/eV per cell. For the energy above the most stable polymorph in this dataset, the calculation gives 0.0 kJ per mole of atoms. For the total moment, the calculation gives 0.00 μB/f.u. The calculation puts the calculated formation energy at -0.427 eV/atom.

6.
This record from the Alexandria database describes a geometry-optimized SmDyHgOs structure. The functional is PBE.

Structure (extended XYZ):
```
4
Lattice="0.000 3.583 3.583 3.583 0.000 3.583 3.583 3.583 0.000" Properties=species:S:1:pos:R:3 pbc="T T T"
Sm 0.000 0.000 0.000
Dy 3.583 3.583 3.583
Hg 5.374 5.374 5.374
Os 1.791 1.791 1.791
```

Properties
For the density of states at the Fermi level, the calculation gives 2.7 states/eV per cell. For the total moment, the calculation gives 0.00 μB/f.u. The calculation puts the calculated formation energy at -0.213 eV/atom.

7.
This record from the Alexandria database describes a geometry-optimized TbDyHgOs structure. The functional is PBE.

Structure (extended XYZ):
```
4
Lattice="3.459 0.000 0.000 0.000 3.459 0.000 0.000 0.000 7.678" Properties=species:S:1:pos:R:3 pbc="T T T"
Tb 0.000 0.000 0.000
Dy 0.000 0.000 4.343
Hg 1.729 1.729 2.185
Os 1.729 1.729 6.001
```

Properties
For the density of states at the Fermi level, the calculation gives 2.9 states/eV per cell. For the energy above the most stable polymorph in this dataset, the calculation gives 0.0 kJ per mole of atoms. For the total moment, the calculation gives 0.00 μB/f.u. The calculation puts the calculated formation energy at -0.372 eV/atom.

8.
This record from the Alexandria database describes a geometry-optimized TbDyHgOs structure. The functional is PBE.

Structure (extended XYZ):
```
4
Lattice="0.000 3.553 3.553 3.553 0.000 3.553 3.553 3.553 0.000" Properties=species:S:1:pos:R:3 pbc="T T T"
Tb 0.000 0.000 0.000
Dy 3.553 3.553 3.553
Hg 5.329 5.329 5.329
Os 1.776 1.776 1.776
```

Properties
For the density of states at the Fermi level, the calculation gives 3.3 states/eV per cell. For the energy above the most stable polymorph in this dataset, the calculation gives 11.2 kJ per mole of atoms. For the total moment, the calculation gives 0.00 μB/f.u. The calculation puts the calculated formation energy at -0.255 eV/atom.

9.
This record from the Alexandria database describes a geometry-optimized DyYHgOs structure. The functional is PBE.

Structure (extended XYZ):
```
4
Lattice="0.000 3.550 3.550 3.550 0.000 3.550 3.550 3.550 0.000" Properties=species:S:1:pos:R:3 pbc="T T T"
Dy 0.000 0.000 0.000
Y 3.550 3.550 3.550
Hg 1.775 1.775 1.775
Os 5.325 5.325 5.325
```

Properties
For the density of states at the Fermi level, the calculation gives 3.6 states/eV per cell. For the total moment, the calculation gives 0.00 μB/f.u. The calculation puts the calculated formation energy at -0.260 eV/atom.

10.
This record from the Alexandria database describes a geometry-optimized DyHgP structure. The functional is PBE.

Structure (extended XYZ):
```
6
Lattice="2.367 1.367 8.732 -2.367 1.367 8.732 0.000 -2.734 8.732" Properties=species:S:1:pos:R:3 pbc="T T T"
Dy 0.000 0.000 2.909
Dy 0.000 0.000 23.287
Hg 0.000 0.000 8.348
Hg 0.000 0.000 17.848
P 0.000 0.000 5.632
P 0.000 0.000 20.564
```

Properties
For the density of states at the Fermi level, the calculation gives 1.2 states/eV per cell. For the total moment, the calculation gives 0.00 μB/f.u. The calculation puts the calculated formation energy at -0.671 eV/atom.

11.
This record from the Alexandria database describes a geometry-optimized Dy3HgP structure. The functional is PBE.

Structure (extended XYZ):
```
20
Lattice="8.858 0.000 0.000 0.000 3.936 0.000 0.000 0.000 15.200" Properties=species:S:1:pos:R:3 pbc="T T T"
Dy 0.152 0.984 1.637
Dy 1.422 0.984 8.106
Dy 1.544 2.952 4.502
Dy 2.885 0.984 12.102
Dy 3.007 2.952 0.506
Dy 4.277 2.952 9.237
Dy 4.581 0.984 5.963
Dy 5.851 0.984 14.695
Dy 5.973 2.952 3.098
Dy 7.314 0.984 10.699
Dy 7.436 2.952 7.094
Dy 8.707 2.952 13.564
Hg 0.956 2.952 10.481
Hg 3.473 0.984 2.881
Hg 5.385 2.952 12.319
Hg 7.902 0.984 4.719
P 1.553 0.984 14.452
P 2.877 2.952 6.852
P 5.982 0.984 8.348
P 7.306 2.952 0.748
```

Properties
For the density of states at the Fermi level, the calculation gives 13.7 states/eV per cell. For the total moment, the calculation gives 0.00 μB/f.u. The calculation puts the calculated formation energy at -0.826 eV/atom.

12.
This record from the Alexandria database describes a geometry-optimized Dy4Hg2PS structure. The functional is PBE.

Structure (extended XYZ):
```
8
Lattice="6.701 0.000 0.000 0.000 3.892 0.000 -2.251 0.000 7.645" Properties=species:S:1:pos:R:3 pbc="T T T"
Dy 1.099 0.000 1.612
Dy -0.027 1.946 6.031
Dy 4.478 1.946 1.614
Dy 3.351 0.000 6.033
Hg -1.125 0.000 3.822
Hg 2.225 1.946 3.822
P 0.000 1.946 0.000
S 3.351 0.000 0.000
```

Properties
For the density of states at the Fermi level, the calculation gives 3.6 states/eV per cell. The value obtained for the formation energy from raw total energies is -1124 meV/atom. For the total moment, the calculation gives 0.00 μB/f.u.

13.
This record from the Alexandria database describes a geometry-optimized Dy8Hg4PS3 structure. The functional is PBE.

Structure (extended XYZ):
```
16
Lattice="6.703 -3.876 0.000 6.703 3.876 0.000 -4.469 0.000 7.599" Properties=species:S:1:pos:R:3 pbc="T T T"
Dy -0.012 0.000 5.409
Dy 3.359 1.949 5.410
Dy 5.578 1.949 2.189
Dy 2.233 0.000 2.185
Dy 6.704 0.000 5.414
Dy 3.359 -1.949 5.410
Dy 5.578 -1.949 2.189
Dy 8.949 0.000 2.190
Hg 0.000 0.000 0.000
Hg 3.351 1.938 0.000
Hg 3.351 -1.938 0.000
Hg 6.703 0.000 0.000
P -2.234 0.000 3.799
S 1.117 1.938 3.799
S 1.117 -1.938 3.799
S 4.468 0.000 3.799
```

Properties
For the density of states at the Fermi level, the calculation gives 7.0 states/eV per cell. The value obtained for the formation energy from raw total energies is -1171 meV/atom. For the total moment, the calculation gives 0.00 μB/f.u.

14.
This record from the Alexandria database describes a geometry-optimized Dy4HgPS2 structure. The functional is PBE.

Structure (extended XYZ):
```
8
Lattice="6.987 0.000 0.000 0.000 3.968 0.000 -2.261 0.000 6.684" Properties=species:S:1:pos:R:3 pbc="T T T"
Dy 1.094 0.000 1.557
Dy -0.046 1.984 5.030
Dy 4.772 1.984 1.654
Dy 3.632 0.000 5.127
Hg 2.363 1.984 3.342
P -1.130 0.000 3.342
S 0.000 1.984 0.000
S 3.493 0.000 0.000
```

Properties
For the density of states at the Fermi level, the calculation gives 4.9 states/eV per cell. The value obtained for the formation energy from raw total energies is -1457 meV/atom. For the total moment, the calculation gives 0.00 μB/f.u.

15.
This record from the Alexandria database describes a geometry-optimized Dy6HgP2Se3 structure. The functional is PBE.

Structure (extended XYZ):
```
12
Lattice="8.938 -2.016 0.000 8.938 2.016 0.000 -1.909 0.000 8.102" Properties=species:S:1:pos:R:3 pbc="T T T"
Dy -0.390 0.000 2.124
Dy 5.041 0.000 3.466
Dy 4.183 0.000 7.271
Dy 11.783 0.000 0.831
Dy 10.925 0.000 4.636
Dy 16.357 0.000 5.979
Hg 8.938 0.000 0.000
P 2.362 0.000 2.732
P 13.605 0.000 5.371
Se 1.383 0.000 6.743
Se 7.983 0.000 4.051
Se 14.583 0.000 1.360
```

Properties
For the density of states at the Fermi level, the calculation gives 4.9 states/eV per cell. The value obtained for the formation energy from raw total energies is -1516 meV/atom. For the total moment, the calculation gives 0.00 μB/f.u.

16.
This record from the Alexandria database describes a geometry-optimized Dy4HgTe2P structure. The functional is PBE.

Structure (extended XYZ):
```
8
Lattice="7.397 0.000 0.000 0.000 4.138 0.000 -2.335 0.000 7.161" Properties=species:S:1:pos:R:3 pbc="T T T"
Dy 1.088 0.000 1.618
Dy -0.062 2.069 5.420
Dy 5.124 2.069 1.741
Dy 3.974 0.000 5.543
Hg -1.167 0.000 3.580
Te 3.698 0.000 0.000
Te 2.531 2.069 3.580
P 0.000 2.069 0.000
```

Properties
For the density of states at the Fermi level, the calculation gives 5.0 states/eV per cell. The value obtained for the formation energy from raw total energies is -1161 meV/atom. For the total moment, the calculation gives 0.00 μB/f.u.

17.
This record from the Alexandria database describes a geometry-optimized Dy6HgTe3P2 structure. The functional is PBE.

Structure (extended XYZ):
```
12
Lattice="9.265 -2.069 0.000 9.265 2.069 0.000 -2.069 0.000 8.417" Properties=species:S:1:pos:R:3 pbc="T T T"
Dy -0.284 0.000 2.127
Dy 5.106 0.000 3.674
Dy 4.328 0.000 7.447
Dy 12.132 0.000 0.970
Dy 11.354 0.000 4.743
Dy 16.744 0.000 6.290
Hg 9.265 0.000 0.000
Te 1.315 0.000 7.009
Te 8.230 0.000 4.209
Te 15.145 0.000 1.409
P 2.440 0.000 2.856
P 14.020 0.000 5.561
```

Properties
For the density of states at the Fermi level, the calculation gives 4.7 states/eV per cell. The value obtained for the formation energy from raw total energies is -1299 meV/atom. For the total moment, the calculation gives 0.00 μB/f.u.

18.
This record from the Alexandria database describes a geometry-optimized DyPaHg2 structure. The functional is PBE.

Structure (extended XYZ):
```
4
Lattice="3.336 0.000 0.000 0.000 3.336 0.000 0.000 0.000 8.894" Properties=species:S:1:pos:R:3 pbc="T T T"
Dy 0.000 0.000 0.000
Pa 0.000 0.000 4.447
Hg 1.668 1.668 2.171
Hg 1.668 1.668 6.723
```

Properties
For the density of states at the Fermi level, the calculation gives 5.8 states/eV per cell. For the energy above the most stable polymorph in this dataset, the calculation gives 0.0 kJ per mole of atoms. For the total moment, the calculation gives 1.10 μB/f.u. The calculation puts the calculated formation energy at -0.154 eV/atom.

19.
This record from the Alexandria database describes a geometry-optimized DyPaHg structure. The functional is PBE.

Structure (extended XYZ):
```
6
Lattice="4.380 0.000 0.000 0.000 4.358 0.000 -0.061 0.000 8.437" Properties=species:S:1:pos:R:3 pbc="T T T"
Dy 1.074 1.089 1.199
Dy 3.245 3.268 7.238
Pa 1.130 3.268 4.214
Pa 3.189 1.089 4.223
Hg 1.036 1.089 6.590
Hg 3.282 3.268 1.847
```

Properties
For the density of states at the Fermi level, the calculation gives 7.1 states/eV per cell. For the total moment, the calculation gives 0.00 μB/f.u. The calculation puts the calculated formation energy at -0.090 eV/atom.

20.
This record from the Alexandria database describes a geometry-optimized DyPaHg6 structure. The functional is PBE.

Structure (extended XYZ):
```
8
Lattice="3.128 1.806 7.457 -3.128 1.806 7.457 0.000 -3.612 7.457" Properties=species:S:1:pos:R:3 pbc="T T T"
Dy 0.000 0.000 0.000
Pa 0.000 0.000 11.185
Hg -1.653 -0.954 8.895
Hg 0.000 -1.909 13.475
Hg -1.653 0.954 13.475
Hg 1.653 -0.954 8.895
Hg 0.000 1.909 8.895
Hg 1.653 0.954 13.475
```

Properties
For the density of states at the Fermi level, the calculation gives 12.3 states/eV per cell. For the total moment, the calculation gives 1.89 μB/f.u. The calculation puts the calculated formation energy at 0.321 eV/atom.